The following is a PBE-GGA calculation of a relaxed structure of Ac2LaScS6, from the Alexandria database.

Lattice parameters (Å, degrees): 6.955 7.539 10.153 90.00 91.14 90.00
Element x y z (fractional)
S (0.128, 0.455, 0.764)
S (0.301, 0.681, 0.063)
S (0.673, 0.299, 0.567)
Sc (0.500, 0.000, 0.500)
S (0.327, 0.701, 0.433)
S (0.372, 0.955, 0.736)
Ac (0.531, 0.586, 0.749)
S (0.699, 0.319, 0.937)
Ac (0.469, 0.414, 0.251)
S (0.173, 0.201, 0.067)
S (0.827, 0.799, 0.933)
Ac (0.969, 0.086, 0.751)
S (0.628, 0.045, 0.264)
La (0.000, 0.500, 0.500)
S (0.199, 0.181, 0.437)
S (0.801, 0.819, 0.563)
Sc (0.000, 0.500, 0.000)
S (0.872, 0.545, 0.236)
La (0.500, 0.000, 0.000)
Ac (0.031, 0.914, 0.249)

uncorrected formation energy: -2104 meV per atom
final energy: -6.528 eV/atom